Entry 1:
A geometry-optimized Li2LaMo structure. Source: the Alexandria database, functional PBE.

**Offset from the most stable computed form**: 131 meV per atom
**Calculated formation energy**: 0.5427 eV/atom
**Symmetry**: Imm2, No. 44
**Magnetization**: 0.0 μB per cell
**Crystal system**: orthorhombic

```
Li2LaMo
1.0
-1.692 2.640 4.475
1.692 -2.640 4.475
1.692 2.640 -4.475
Li La Mo
2 1 1
Cartesian
0.000 0.000 0.000 Li
0.000 2.640 2.355 Li
0.000 0.000 4.220 La
1.692 0.000 2.205 Mo
```

Entry 2:
A geometry-optimized PaNi2Pd structure. Source: the Alexandria database, functional PBE.

**Offset from the most stable computed form**: 18 meV per atom
**Calculated formation energy**: -0.3675 eV/atom
**Symmetry**: P4/mmm, No. 123
**Magnetization**: 0.0 μB per cell
**Crystal system**: tetragonal

```
PaNi2Pd
1.0
4.169 0.000 0.000
0.000 4.169 0.000
0.000 0.000 3.651
Pa Ni Pd
1 2 1
Cartesian
0.000 0.000 0.000 Pa
0.000 2.084 1.826 Ni
2.084 0.000 1.826 Ni
2.084 2.084 0.000 Pd
```